Entry 1:
Computed, not measured: a geometry-optimized GaHgTe2 structure at the PBE-GGA level of DFT.

Values from the calculation:
N(E_F), states/eV per atom: 0.327
E_form (uncorrected), kcal/mol of atoms: -4.12

a b c (Å): 6.9443 6.9443 6.9443
angles (deg): 103.31 103.31 122.65
Last column: nearest neighbours and their distance in Å.
Fractional positions:
Ga 0.2500 0.7500 0.5000  4 Te 2.68
Ga 0.7500 0.2500 0.5000  4 Te 2.68
Hg 0.0000 0.0000 0.0000  4 Te 3.19, 2 Hg 3.33
Hg 0.5000 0.5000 0.0000  4 Te 3.19, 2 Hg 3.33
Te 0.1725 0.6725 0.8451  2 Ga 2.68
Te 0.3275 0.1725 0.5000  2 Ga 2.68
Te 0.6725 0.8275 0.5000  2 Ga 2.68
Te 0.8275 0.3275 0.1549  2 Ga 2.68

Entry 2:
Computed, not measured: a geometry-optimized GaHgTe2 structure at the PBE-GGA level of DFT.

Values from the calculation:
N(E_F), states/eV per atom: 0.172
E_form (uncorrected), kcal/mol of atoms: -3.33

a b c (Å): 4.5290 4.5508 7.3986
angles (deg): 77.78 77.82 69.19
Last column: nearest neighbours and their distance in Å.
Fractional positions:
Ga 0.0000 0.0000 0.0000  4 Te 2.77-2.88
Hg 0.5358 0.5354 0.5153  4 Te 2.85-2.93
Te 0.3967 0.3987 0.9203  3 Ga 2.79-2.88, 1 Hg 2.91
Te 0.9283 0.9307 0.3867  1 Ga 2.77, 3 Hg 2.85-2.93

Entry 3:
Computed, not measured: a geometry-optimized GaHgTe3 structure at the PBE-GGA level of DFT.

Values from the calculation:
E above lowest polymorph, eV per atom: 0.0000
N(E_F), states/eV per atom: 0.294
E_form (uncorrected), kcal/mol of atoms: -0.75

a b c (Å): 4.4853 6.5953 6.6103
angles (deg): 68.78 70.44 70.42
Last column: nearest neighbours and their distance in Å.
Fractional positions:
Ga 0.0000 0.0000 0.0000  5 Te 2.86-2.95
Hg 0.5023 0.3790 0.6169  4 Te 2.85-2.91
Te 0.0005 0.6166 0.3829  2 Hg 2.85, 1 Ga 2.86
Te 0.3167 0.2572 0.1036  2 Ga 2.91-2.95, 1 Hg 2.91, 1 Te 3.19
Te 0.6846 0.8930 0.7445  1 Hg 2.90, 2 Ga 2.91-2.95, 1 Te 3.19

| no. | M_tot (Bohr magnetons per cell) |
| --- | --- |
| 1 | 0.00 |
| 2 | 0.00 |
| 3 | 0.00 |